Entry 1
{
  "formula": "Mg4Pb5",
  "functional": "GGA-PBE",
  "state": "relaxed",
  "sg": "P6_3/mcm, No. 193",
  "magmom_total_mub_per_cell": 0.000,
  "vol_a3_per_atom": 27.29,
  "cell": [[9.1678, 0.0000, 0.0000], [-4.5839, 7.9396, 0.0000], [0.0000, 0.0000, 6.7482]],
  "species": ["Mg", "Mg", "Mg", "Mg", "Mg", "Mg", "Mg", "Mg", "Pb", "Pb", "Pb", "Pb", "Pb", "Pb", "Pb", "Pb", "Pb", "Pb"],
  "frac_coords": [[0.0000, 0.0000, 0.0000], [0.0000, 0.0000, 0.5000], [0.0000, 0.3548, 0.2500], [0.6452, 0.6452, 0.2500], [0.3548, 0.0000, 0.2500], [0.0000, 0.6452, 0.7500], [0.3548, 0.3548, 0.7500], [0.6452, 0.0000, 0.7500], [0.0000, 0.6931, 0.2500], [0.3069, 0.3069, 0.2500], [0.6931, 0.0000, 0.2500], [0.0000, 0.3069, 0.7500], [0.6931, 0.6931, 0.7500], [0.3069, 0.0000, 0.7500], [0.6667, 0.3333, 0.0000], [0.3333, 0.6667, 0.5000], [0.3333, 0.6667, 0.0000], [0.6667, 0.3333, 0.5000]]
}

***

Entry 2
{
  "formula": "Mg4Pb5",
  "functional": "GGA-PBE",
  "state": "relaxed",
  "sg": "C2/m, No. 12",
  "magmom_total_mub_per_cell": 0.000,
  "vol_a3_per_atom": 27.20,
  "cell": [[-3.1523, -0.8625, -1.1867], [-2.1475, -6.6072, 5.3540], [-5.1774, 3.0284, 6.3996]],
  "species": ["Mg", "Mg", "Mg", "Mg", "Pb", "Pb", "Pb", "Pb", "Pb"],
  "frac_coords": [[0.3426, 0.6468, 0.6716], [0.3426, 0.0049, 0.3135], [0.6574, 0.6865, 0.9951], [0.6574, 0.3284, 0.3532], [0.0000, 0.0042, 0.9958], [0.0000, 0.3292, 0.6708], [0.0000, 0.6667, 0.3333], [0.3022, 0.3628, 0.0294], [0.6978, 0.9706, 0.6372]]
}

***

Result of the stability comparison: entry 1 is the least stable of them.

***

Entry 1
{
  "formula": "Mg3Pb2",
  "functional": "GGA-PBE",
  "state": "relaxed",
  "sg": "R-3c, No. 167",
  "magmom_total_mub_per_cell": 0.000,
  "vol_a3_per_atom": 27.39,
  "cell": [[8.2725, 0.0000, 0.0000], [4.1363, 7.1642, 0.0000], [4.1363, 2.3881, 4.6212]],
  "species": ["Pb", "Pb", "Pb", "Pb", "Mg", "Mg", "Mg", "Mg", "Mg", "Mg"],
  "frac_coords": [[0.8818, 0.8818, 0.3547], [0.3818, 0.3818, 0.8547], [0.1182, 0.1182, 0.6453], [0.6182, 0.6182, 0.1453], [0.0465, 0.7500, 0.7500], [0.7500, 0.4535, 0.7500], [0.4535, 0.0465, 0.7500], [0.2500, 0.5465, 0.2500], [0.5465, 0.9535, 0.2500], [0.9535, 0.2500, 0.2500]]
}

***

Entry 2
{
  "formula": "Mg3Pb2",
  "functional": "GGA-PBE",
  "state": "relaxed",
  "sg": "Fdd2, No. 43",
  "magmom_total_mub_per_cell": 0.000,
  "vol_a3_per_atom": 26.85,
  "cell": [[0.0000, 7.2776, 11.6822], [1.5793, 0.0000, 11.6822], [1.5793, 7.2776, 0.0000]],
  "species": ["Mg", "Mg", "Mg", "Mg", "Mg", "Mg", "Pb", "Pb", "Pb", "Pb"],
  "frac_coords": [[0.6077, 0.3016, 0.7588], [0.3319, 0.7588, 0.3016], [0.9484, 0.6423, 0.9181], [0.4912, 0.9181, 0.6423], [0.9935, 0.0065, 0.0065], [0.2435, 0.2565, 0.2565], [0.3107, 0.5125, 0.4206], [0.7562, 0.4206, 0.5125], [0.7375, 0.9393, 0.4938], [0.8294, 0.4938, 0.9393]]
}

***

Result of the stability comparison: entry 1 is the least stable of them.

***

Entry 1
{
  "formula": "Mg7PdPb2",
  "functional": "GGA-PBE",
  "state": "relaxed",
  "sg": "C2/c, No. 15",
  "magmom_total_mub_per_cell": 0.000,
  "vol_a3_per_atom": 23.07,
  "cell": [[-7.6754, -3.3110, -0.5785], [-2.1369, -4.3848, -7.2350], [-1.0987, -8.2853, 1.3161]],
  "species": ["Mg", "Mg", "Mg", "Mg", "Mg", "Mg", "Mg", "Mg", "Mg", "Mg", "Mg", "Mg", "Mg", "Mg", "Pd", "Pd", "Pb", "Pb", "Pb", "Pb"],
  "frac_coords": [[0.6870, 0.5268, 0.8783], [0.9079, 0.0268, 0.3783], [0.2237, 0.9069, 0.9148], [0.3788, 0.1996, 0.5404], [0.6596, 0.2500, 0.7500], [0.9546, 0.4069, 0.4148], [0.1189, 0.3004, 0.9596], [0.8811, 0.6996, 0.0404], [0.0454, 0.5931, 0.5852], [0.3404, 0.7500, 0.2500], [0.6212, 0.8004, 0.4596], [0.7763, 0.0931, 0.0852], [0.0921, 0.9732, 0.6217], [0.3130, 0.4732, 0.1217], [0.9974, 0.2500, 0.7500], [0.0026, 0.7500, 0.2500], [0.6389, 0.9096, 0.7887], [0.6628, 0.4096, 0.2887], [0.3372, 0.5904, 0.7113], [0.3611, 0.0904, 0.2113]]
}

***

Entry 2
{
  "formula": "Mg7PdPb2",
  "functional": "GGA-PBE",
  "state": "relaxed",
  "sg": "Fm-3m, No. 225",
  "magmom_total_mub_per_cell": 0.000,
  "vol_a3_per_atom": 27.69,
  "cell": [[7.3161, 0.0000, 0.0000], [3.6580, 6.3359, 0.0000], [3.6580, 2.1120, 5.9736]],
  "species": ["Mg", "Mg", "Mg", "Mg", "Mg", "Mg", "Mg", "Pd", "Pb", "Pb"],
  "frac_coords": [[0.5000, 0.5000, 0.5000], [0.2389, 0.7611, 0.7611], [0.2389, 0.7611, 0.2389], [0.7611, 0.2389, 0.7611], [0.7611, 0.7611, 0.2389], [0.2389, 0.2389, 0.7611], [0.7611, 0.2389, 0.2389], [0.0000, 0.0000, 0.0000], [0.2500, 0.2500, 0.2500], [0.7500, 0.7500, 0.7500]]
}

***

Result of the stability comparison: entry 2 is the least stable of them.